# 1
Li2BePt2 at its PBEsol-relaxed geometry, computed with SCAN.

## Properties
Fermi-level density of states = 1.07 states/eV/f.u.
V = 13.80 A^3/atom
formation energy from the elements = -0.689 eV per atom
space group = P4/mbm, No. 127
VASP energy = -30.593 eV per atom

Structure (CIF):
```
data_Li2BePt2
_cell_length_a 5.829
_cell_length_b 5.829
_cell_length_c 4.061
_cell_angle_alpha 90.00
_cell_angle_beta 90.00
_cell_angle_gamma 90.00
_space_group_name_H-M_alt 'P 1'
_space_group_IT_number 1
loop_
_space_group_symop_operation_xyz
'x,y,z'
loop_
_atom_site_label
_atom_site_type_symbol
_atom_site_fract_x
_atom_site_fract_y
_atom_site_fract_z
Li1 Li 0.160 0.340 0.000
Li2 Li 0.340 0.840 0.000
Li3 Li 0.660 0.160 0.000
Li4 Li 0.840 0.660 0.000
Be1 Be 0.000 0.000 0.500
Be2 Be 0.500 0.500 0.500
Pt1 Pt 0.156 0.656 0.500
Pt2 Pt 0.344 0.156 0.500
Pt3 Pt 0.656 0.844 0.500
Pt4 Pt 0.844 0.344 0.500
```


# 2
LiBePt at its PBEsol-relaxed geometry, computed with SCAN.

## Properties
Fermi-level density of states = 0.59 states/eV/f.u.
V = 11.49 A^3/atom
E above lowest polymorph = 0.0000 eV/atom
formation energy from the elements = -0.792 eV per atom
space group = Cmcm, No. 63
VASP energy = -26.438 eV per atom

Structure (CIF):
```
data_LiBePt
_cell_length_a 2.752
_cell_length_b 12.962
_cell_length_c 3.867
_cell_angle_alpha 90.00
_cell_angle_beta 90.00
_cell_angle_gamma 90.00
_space_group_name_H-M_alt 'P 1'
_space_group_IT_number 1
loop_
_space_group_symop_operation_xyz
'x,y,z'
loop_
_atom_site_label
_atom_site_type_symbol
_atom_site_fract_x
_atom_site_fract_y
_atom_site_fract_z
Li1 Li 0.000 0.227 0.250
Li2 Li 0.000 0.773 0.750
Li3 Li 0.500 0.273 0.750
Li4 Li 0.500 0.727 0.250
Be1 Be 0.000 0.440 0.750
Be2 Be 0.000 0.560 0.250
Be3 Be 0.500 0.060 0.250
Be4 Be 0.500 0.940 0.750
Pt1 Pt 0.000 0.091 0.750
Pt2 Pt 0.000 0.909 0.250
Pt3 Pt 0.500 0.409 0.250
Pt4 Pt 0.500 0.591 0.750
```


# 3
LiTaBe2Pt at its PBEsol-relaxed geometry, computed with SCAN.

## Properties
Fermi-level density of states = 2.80 states/eV/f.u.
V = 15.99 A^3/atom
formation energy from the elements = 1.740 eV per atom
space group = P4/mmm, No. 123
VASP energy = -27.835 eV per atom

Structure (CIF):
```
data_LiTaBe2Pt
_cell_length_a 4.273
_cell_length_b 4.273
_cell_length_c 4.380
_cell_angle_alpha 90.00
_cell_angle_beta 90.00
_cell_angle_gamma 90.00
_space_group_name_H-M_alt 'P 1'
_space_group_IT_number 1
loop_
_space_group_symop_operation_xyz
'x,y,z'
loop_
_atom_site_label
_atom_site_type_symbol
_atom_site_fract_x
_atom_site_fract_y
_atom_site_fract_z
Li1 Li 0.000 0.000 0.000
Ta1 Ta 0.000 0.000 0.500
Be1 Be 0.000 0.500 0.500
Be2 Be 0.500 0.000 0.500
Pt1 Pt 0.500 0.500 0.000
```


# 4
LiBeRe at its PBEsol-relaxed geometry, computed with SCAN.

## Properties
Fermi-level density of states = 2.92 states/eV/f.u.
V = 11.68 A^3/atom
formation energy from the elements = 1.393 eV per atom
space group = F-43m, No. 216
VASP energy = -24.554 eV per atom

Structure (CIF):
```
data_LiBeRe
_cell_length_a 5.195
_cell_length_b 5.195
_cell_length_c 5.195
_cell_angle_alpha 90.00
_cell_angle_beta 90.00
_cell_angle_gamma 90.00
_space_group_name_H-M_alt 'P 1'
_space_group_IT_number 1
loop_
_space_group_symop_operation_xyz
'x,y,z'
loop_
_atom_site_label
_atom_site_type_symbol
_atom_site_fract_x
_atom_site_fract_y
_atom_site_fract_z
Li1 Li 0.000 0.000 0.000
Li2 Li 0.000 0.500 0.500
Li3 Li 0.500 0.000 0.500
Li4 Li 0.500 0.500 0.000
Be1 Be 0.250 0.250 0.250
Be2 Be 0.250 0.750 0.750
Be3 Be 0.750 0.250 0.750
Be4 Be 0.750 0.750 0.250
Re1 Re 0.250 0.250 0.750
Re2 Re 0.250 0.750 0.250
Re3 Re 0.750 0.250 0.250
Re4 Re 0.750 0.750 0.750
```